Model i:
# BeBi3I | Alexandria | PBE-GGA | relaxed
# N(E_F) = 6.03 states/eV per cell
data_BeBi3I
_chemical_formula_sum 'Be1 Bi3 I1'
_symmetry_space_group_name_H-M 'P m -3 m'
_symmetry_Int_Tables_number 221
_symmetry_space_group_name_Hall '-P 4 2 3'
_cell_length_a 5.9522
_cell_length_b 5.9522
_cell_length_c 5.9522
_cell_angle_alpha 90.00
_cell_angle_beta 90.00
_cell_angle_gamma 90.00
loop_
_atom_site_label
_atom_site_fract_x
_atom_site_fract_y
_atom_site_fract_z
Be1 0.0000 0.0000 0.0000
Bi1 0.0000 0.5000 0.5000
I1 0.5000 0.5000 0.5000

***

Model ii:
# BeBi3I | Alexandria | PBE-GGA | relaxed
# N(E_F) = 5.45 states/eV per cell
data_BeBi3I
_chemical_formula_sum 'Be1 Bi3 I1'
_symmetry_space_group_name_H-M 'P m -3 m'
_symmetry_Int_Tables_number 221
_symmetry_space_group_name_Hall '-P 4 2 3'
_cell_length_a 5.2617
_cell_length_b 5.2617
_cell_length_c 5.2617
_cell_angle_alpha 90.00
_cell_angle_beta 90.00
_cell_angle_gamma 90.00
loop_
_atom_site_label
_atom_site_fract_x
_atom_site_fract_y
_atom_site_fract_z
Be1 0.0000 0.0000 0.0000
Bi1 0.0000 0.0000 0.5000
I1 0.5000 0.5000 0.5000

***

Which one is most stable, and which one is least stable? model ii is the most stable of them, while model i is the least stable.

***

Model i:
# BeBi2I | Alexandria | PBE-GGA | relaxed
# N(E_F) = 12.00 states/eV per cell
data_BeBi2I
_chemical_formula_sum 'Be4 Bi8 I4'
_symmetry_space_group_name_H-M 'F m -3 m'
_symmetry_Int_Tables_number 225
_symmetry_space_group_name_Hall '-F 4 2 3'
_cell_length_a 7.6423
_cell_length_b 7.6423
_cell_length_c 7.6423
_cell_angle_alpha 90.00
_cell_angle_beta 90.00
_cell_angle_gamma 90.00
loop_
_atom_site_label
_atom_site_fract_x
_atom_site_fract_y
_atom_site_fract_z
Be1 0.0000 0.0000 0.0000
Bi1 0.2500 0.2500 0.2500
I1 0.0000 0.0000 0.5000

***

Model ii:
# BeBi2I | Alexandria | PBE-GGA | relaxed
# N(E_F) = 17.45 states/eV per cell
data_BeBi2I
_chemical_formula_sum 'Be4 Bi8 I4'
_symmetry_space_group_name_H-M 'I -4 2 d'
_symmetry_Int_Tables_number 122
_symmetry_space_group_name_Hall 'I -4 2bw'
_cell_length_a 6.7694
_cell_length_b 6.7694
_cell_length_c 12.3199
_cell_angle_alpha 90.00
_cell_angle_beta 90.00
_cell_angle_gamma 90.00
loop_
_atom_site_label
_atom_site_fract_x
_atom_site_fract_y
_atom_site_fract_z
Be1 0.0000 0.0000 0.0000
Bi1 0.1409 0.2500 0.1250
I1 0.0000 0.0000 0.5000

***

Which one is most stable, and which one is least stable? model ii is the most stable of them, while model i is the least stable.

***

Model i:
# BeBiI2N | Alexandria | PBE-GGA | relaxed
# N(E_F) = 2.69 states/eV per cell
data_BeBiI2N
_chemical_formula_sum 'Be1 Bi1 I2 N1'
_symmetry_space_group_name_H-M 'P 4/m m m'
_symmetry_Int_Tables_number 123
_symmetry_space_group_name_Hall '-P 4 2'
_cell_length_a 7.0015
_cell_length_b 7.0015
_cell_length_c 3.0553
_cell_angle_alpha 90.00
_cell_angle_beta 90.00
_cell_angle_gamma 90.00
loop_
_atom_site_label
_atom_site_fract_x
_atom_site_fract_y
_atom_site_fract_z
Be1 0.0000 0.0000 0.0000
Bi1 0.5000 0.5000 0.5000
I1 0.0000 0.5000 0.0000
N1 0.0000 0.0000 0.5000

***

Model ii:
# BeBiI2N | Alexandria | PBE-GGA | relaxed
# N(E_F) = 4.99 states/eV per cell
data_BeBiI2N
_chemical_formula_sum 'Be1 Bi1 I2 N1'
_symmetry_space_group_name_H-M 'P 4/m m m'
_symmetry_Int_Tables_number 123
_symmetry_space_group_name_Hall '-P 4 2'
_cell_length_a 6.3181
_cell_length_b 6.3181
_cell_length_c 4.2731
_cell_angle_alpha 90.00
_cell_angle_beta 90.00
_cell_angle_gamma 90.00
loop_
_atom_site_label
_atom_site_fract_x
_atom_site_fract_y
_atom_site_fract_z
Be1 0.0000 0.0000 0.0000
Bi1 0.5000 0.5000 0.5000
I1 0.0000 0.5000 0.5000
N1 0.5000 0.5000 0.0000

***

Which one is most stable, and which one is least stable? model i is the most stable of them, while model ii is the least stable.

***

Model i:
# BeBiSbI2 | Alexandria | PBE-GGA | relaxed
# N(E_F) = 2.72 states/eV per cell
data_BeBiSbI2
_chemical_formula_sum 'Be1 Bi1 Sb1 I2'
_symmetry_space_group_name_H-M 'P 4/m m m'
_symmetry_Int_Tables_number 123
_symmetry_space_group_name_Hall '-P 4 2'
_cell_length_a 6.2067
_cell_length_b 6.2067
_cell_length_c 6.1101
_cell_angle_alpha 90.00
_cell_angle_beta 90.00
_cell_angle_gamma 90.00
loop_
_atom_site_label
_atom_site_fract_x
_atom_site_fract_y
_atom_site_fract_z
Be1 0.0000 0.0000 0.0000
Bi1 0.5000 0.5000 0.5000
Sb1 0.5000 0.5000 0.0000
I1 0.0000 0.5000 0.5000

***

Model ii:
# BeBiSbI2 | Alexandria | PBE-GGA | relaxed
# N(E_F) = 2.91 states/eV per cell
data_BeBiSbI2
_chemical_formula_sum 'Be1 Bi1 Sb1 I2'
_symmetry_space_group_name_H-M 'P 4/m m m'
_symmetry_Int_Tables_number 123
_symmetry_space_group_name_Hall '-P 4 2'
_cell_length_a 5.1312
_cell_length_b 5.1312
_cell_length_c 5.3497
_cell_angle_alpha 90.00
_cell_angle_beta 90.00
_cell_angle_gamma 90.00
loop_
_atom_site_label
_atom_site_fract_x
_atom_site_fract_y
_atom_site_fract_z
Be1 0.0000 0.0000 0.0000
Bi1 0.5000 0.5000 0.5000
Sb1 0.0000 0.0000 0.5000
I1 0.0000 0.5000 0.0000

***

Which one is most stable, and which one is least stable? model ii is the most stable of them, while model i is the least stable.

***

Model i:
# Be2InBi | Alexandria | PBE-GGA | relaxed
# N(E_F) = 9.72 states/eV per cell
data_Be2InBi
_chemical_formula_sum 'Be8 In4 Bi4'
_symmetry_space_group_name_H-M 'F m -3 m'
_symmetry_Int_Tables_number 225
_symmetry_space_group_name_Hall '-F 4 2 3'
_cell_length_a 6.7974
_cell_length_b 6.7974
_cell_length_c 6.7974
_cell_angle_alpha 90.00
_cell_angle_beta 90.00
_cell_angle_gamma 90.00
loop_
_atom_site_label
_atom_site_fract_x
_atom_site_fract_y
_atom_site_fract_z
Be1 0.2500 0.2500 0.2500
In1 0.0000 0.0000 0.0000
Bi1 0.0000 0.0000 0.5000

***

Model ii:
# Be2InBi | Alexandria | PBE-GGA | relaxed
# N(E_F) = 9.74 states/eV per cell
data_Be2InBi
_chemical_formula_sum 'Be8 In4 Bi4'
_symmetry_space_group_name_H-M 'I -4 2 d'
_symmetry_Int_Tables_number 122
_symmetry_space_group_name_Hall 'I -4 2bw'
_cell_length_a 6.4073
_cell_length_b 6.4073
_cell_length_c 9.1851
_cell_angle_alpha 90.00
_cell_angle_beta 90.00
_cell_angle_gamma 90.00
loop_
_atom_site_label
_atom_site_fract_x
_atom_site_fract_y
_atom_site_fract_z
Be1 0.2367 0.2500 0.1250
In1 0.0000 0.0000 0.5000
Bi1 0.0000 0.0000 0.0000

***

Which one is most stable, and which one is least stable? model ii is the most stable of them, while model i is the least stable.

***

Model i:
# BeBiIr2 | Alexandria | PBE-GGA | relaxed
# N(E_F) = 13.02 states/eV per cell
data_BeBiIr2
_chemical_formula_sum 'Be4 Bi4 Ir8'
_symmetry_space_group_name_H-M 'I -4 2 d'
_symmetry_Int_Tables_number 122
_symmetry_space_group_name_Hall 'I -4 2bw'
_cell_length_a 4.5873
_cell_length_b 4.5873
_cell_length_c 14.9284
_cell_angle_alpha 90.00
_cell_angle_beta 90.00
_cell_angle_gamma 90.00
loop_
_atom_site_label
_atom_site_fract_x
_atom_site_fract_y
_atom_site_fract_z
Be1 0.0000 0.0000 0.0000
Bi1 0.0000 0.0000 0.5000
Ir1 0.1137 0.2500 0.1250

***

Model ii:
# BeBiIr2 | Alexandria | PBE-GGA | relaxed
# N(E_F) = 17.54 states/eV per cell
data_BeBiIr2
_chemical_formula_sum 'Be4 Bi4 Ir8'
_symmetry_space_group_name_H-M 'F m -3 m'
_symmetry_Int_Tables_number 225
_symmetry_space_group_name_Hall '-F 4 2 3'
_cell_length_a 6.3600
_cell_length_b 6.3600
_cell_length_c 6.3600
_cell_angle_alpha 90.00
_cell_angle_beta 90.00
_cell_angle_gamma 90.00
loop_
_atom_site_label
_atom_site_fract_x
_atom_site_fract_y
_atom_site_fract_z
Be1 0.0000 0.0000 0.0000
Bi1 0.0000 0.0000 0.5000
Ir1 0.2500 0.2500 0.2500

***

Which one is most stable, and which one is least stable? model i is the most stable of them, while model ii is the least stable.

***

Model i:
# BeBi3Ir | Alexandria | PBE-GGA | relaxed
# N(E_F) = 1.61 states/eV per cell
data_BeBi3Ir
_chemical_formula_sum 'Be1 Bi3 Ir1'
_symmetry_space_group_name_H-M 'P m -3 m'
_symmetry_Int_Tables_number 221
_symmetry_space_group_name_Hall '-P 4 2 3'
_cell_length_a 5.3731
_cell_length_b 5.3731
_cell_length_c 5.3731
_cell_angle_alpha 90.00
_cell_angle_beta 90.00
_cell_angle_gamma 90.00
loop_
_atom_site_label
_atom_site_fract_x
_atom_site_fract_y
_atom_site_fract_z
Be1 0.0000 0.0000 0.0000
Bi1 0.0000 0.5000 0.5000
Ir1 0.5000 0.5000 0.5000

***

Model ii:
# BeBi3Ir | Alexandria | PBE-GGA | relaxed
# N(E_F) = 2.97 states/eV per cell
data_BeBi3Ir
_chemical_formula_sum 'Be1 Bi3 Ir1'
_symmetry_space_group_name_H-M 'P m -3 m'
_symmetry_Int_Tables_number 221
_symmetry_space_group_name_Hall '-P 4 2 3'
_cell_length_a 4.9308
_cell_length_b 4.9308
_cell_length_c 4.9308
_cell_angle_alpha 90.00
_cell_angle_beta 90.00
_cell_angle_gamma 90.00
loop_
_atom_site_label
_atom_site_fract_x
_atom_site_fract_y
_atom_site_fract_z
Be1 0.0000 0.0000 0.0000
Bi1 0.0000 0.0000 0.5000
Ir1 0.5000 0.5000 0.5000

***

Which one is most stable, and which one is least stable? model ii is the most stable of them, while model i is the least stable.